1.
VASP calculation (GGA-PBEsol) on a geometry-optimized LiAgAs3 structure.

Summary:
calculated formation energy = 0.54 eV/atom
DFT total energy = -17.9 eV/cell
total magnetization = 0.00 μB per formula unit

Cell: 4.5239 4.5239 4.5239 Å, 90.00 90.00 90.00°
Fractional positions:
As: 0.0000 0.5000 0.0000
As: 0.0000 0.0000 0.5000
Li: 0.0000 0.0000 0.0000
As: 0.5000 0.0000 0.0000
Ag: 0.5000 0.5000 0.5000

2.
VASP calculation (GGA-PBEsol) on a geometry-optimized Ca2AgPt structure.

Summary:
calculated formation energy = -0.55 eV/atom
DFT total energy = -16.7 eV/cell
total magnetization = 0.00 μB per formula unit

Cell: 3.6069 4.9053 4.9058 Å, 90.00 90.00 90.00°
Fractional positions:
Ag: 0.5000 0.5000 0.1266
Ca: 0.0000 0.5000 0.6256
Ca: 0.0000 0.0000 0.1242
Pt: 0.5000 0.0000 0.6236